Compound: TiNiS2
Source: Alexandria via LeMat-Bulk
Functional: PBE
Structure: relaxed

a b c (Å): 4.2574 4.2574 4.2574
angles (deg): 60.00 60.00 60.00
With the nearest neighbours (Å) after each atom.
Positions (direct):
Ni  0.5000  0.5000  0.5000  8 S 2.61
S  0.2500  0.2500  0.2500  4 Ni 2.61, 4 Ti 2.61
S  0.7500  0.7500  0.7500  4 Ti 2.61, 4 Ni 2.61
Ti  0.0000  0.0000  0.0000  8 S 2.61

Output
* ΔE_f (raw): -0.5081 eV per atom
* total moment: 0.0 μB/f.u.
* total DFT energy (no corrections): -5.991 eV per atom
* energy above the lowest structure with this stoichiometry: 0.411 eV/atom